1.
{"formula": "Tb2Y2Ho15", "functional": "PBE", "state": "relaxed", "dos_at_fermi_per_ev_cell": 34.36, "formation_energy_ev_per_atom": 0.29, "e_tot_ev_per_atom": -4.494, "magmom_total_mub_per_fu": 0.00, "lattice": [[5.5554, 3.2074, 5.8557], [-5.5554, 3.2074, 5.8557], [0.0000, -6.4148, 5.8557]], "species": ["Tb", "Tb", "Y", "Y", "Ho", "Ho", "Ho", "Ho", "Ho", "Ho", "Ho", "Ho", "Ho", "Ho", "Ho", "Ho", "Ho", "Ho", "Ho"], "fractional_positions": [[0.1769, 0.1769, 0.1769], [0.8231, 0.8231, 0.8231], [0.4024, 0.4024, 0.4024], [0.5976, 0.5976, 0.5976], [0.0000, 0.5000, 0.5000], [0.1299, 0.1299, 0.6490], [0.1299, 0.6490, 0.1299], [0.2003, 0.5000, 0.7997], [0.2003, 0.7997, 0.5000], [0.3510, 0.8701, 0.8701], [0.5000, 0.0000, 0.5000], [0.5000, 0.2003, 0.7997], [0.5000, 0.5000, 0.0000], [0.5000, 0.7997, 0.2003], [0.6490, 0.1299, 0.1299], [0.7997, 0.2003, 0.5000], [0.7997, 0.5000, 0.2003], [0.8701, 0.3510, 0.8701], [0.8701, 0.8701, 0.3510]]}

***

2.
{"formula": "Pm2PdS", "functional": "PBE", "state": "relaxed", "dos_at_fermi_per_ev_cell": 2.54, "polymorph_energy_mev_per_atom": 138, "e_form_raw_ev_per_atom": -1.269, "e_tot_ev_per_atom": -5.975, "magmom_total_mub_per_fu": 0.00, "lattice": [[1.9747, 1.1401, 7.3555], [-1.9747, 1.1401, 7.3555], [0.0000, -2.2801, 7.3555]], "species": ["Pm", "Pm", "Pd", "S"], "fractional_positions": [[0.0000, 0.0000, 0.0000], [0.1740, 0.1740, 0.1740], [0.7537, 0.7537, 0.7537], [0.5860, 0.5860, 0.5860]]}

***

3.
{"formula": "NdScSn", "functional": "PBE", "state": "relaxed", "dos_at_fermi_per_ev_cell": 1.28, "polymorph_energy_mev_per_atom": 175, "formation_energy_ev_per_atom": -0.45, "e_tot_ev_per_atom": -5.489, "magmom_total_mub_per_fu": 0.00, "lattice": [[4.9338, 0.0000, 0.0000], [-2.4669, 4.2728, 0.0000], [0.0000, 0.0000, 4.0508]], "species": ["Nd", "Sc", "Sn"], "fractional_positions": [[0.0000, 0.0000, 0.0000], [0.3333, 0.6667, 0.5000], [0.6667, 0.3333, 0.5000]]}

***

Q: What is the formula in the first record?
A: Tb2Y2Ho15

***

Q: Number 2 is which compound?
A: Pm2PdS